Material: LaPt
Method: DFT, PBE
State: relaxed

Unit cell a=3.9704 b=11.0914 c=4.5813 alpha=90.00 beta=90.00 gamma=90.00
Closest atoms and distances in Å follow each position.
Space group Cmcm (No. 63)
Unique sites:
1 La 0.0000 0.1357 0.2500  7 Pt 3.02-3.21
2 Pt 0.0000 0.4080 0.2500  7 La 3.02-3.21, 2 Pt 3.07

**ΔE_f**: -1.1937 eV/atom
**Magnetic moment**: 0.0 μB/cell
**Final energy**: -53.5 eV/cell
**Calculated volume**: 25.22 A^3/atom